Density functional theory data (PBE) for a relaxed Ca2AgPd3 crystal.

Calculated values
V (Å³/cell): 240
Final energy (eV/cell): -51.96
Magnetization (μB/cell): 0.0
DOS(E_F) (states/eV per cell): 6.14

Cell lengths 5.5820, 5.5820, 8.8961 Å; angles 90.00, 90.00, 120.00 degrees
Space group P6_3/mmc (No. 194)
Inequivalent atoms, fractional coordinates:
Ca: 0.3333 0.6667 0.0658
Ag: 0.0000 0.0000 0.0000
Pd: 0.1703 0.3406 0.7500